Entry from the Alexandria database: an optimized crystal structure of LaAgAs3 (PBE).

Results
volume	36.105	Å³ per atom
energy above the most stable polymorph in this dataset	0.801	eV/atom
final energy	-18.057	eV for the cell shown
symmetry	No. 221
E_form	0.734	eV/atom

abc: 5.652 5.652 5.652
angles: 90.00 90.00 90.00
Element x y z (fractional)
La 0.000 0.000 0.000
Ag 0.500 0.500 0.500
As 0.000 0.000 0.500
As 0.000 0.500 0.000
As 0.500 0.000 0.000